Record 1
A plane-wave DFT calculation with PBE-GGA was carried out for a relaxed LaScZnTe2 crystal.

## Properties
- symmetry = No. 123
- uncorrected energy (Ry/atom) = -0.286

Cell lengths 5.5185, 5.6824, 5.5185 Å; angles 90.00, 90.00, 90.00 degrees
Fractional coordinates of all 5 atoms:
Sc 0.0000 0.0000 0.0000
Zn 0.5000 0.5000 0.5000
Te 0.0000 0.0000 0.5000
Te 0.5000 0.0000 0.0000
La 0.0000 0.5000 0.0000



Record 2
A plane-wave DFT calculation with PBE-GGA was carried out for a relaxed LaTh6Sc12 crystal.

## Properties
- symmetry = No. 166
- calculated formation energy (eV per atom) = 0.520
- uncorrected energy (Ry/atom) = -0.447

Cell lengths 8.7225, 8.7225, 8.7225 Å; angles 104.99, 104.99, 104.99 degrees
Fractional coordinates of all 19 atoms:
La 0.0000 0.0000 0.0000
Th 0.7073 0.3140 0.3140
Th 0.3140 0.3140 0.7073
Th 0.3140 0.7073 0.3140
Th 0.6860 0.6860 0.2927
Th 0.2927 0.6860 0.6860
Th 0.6860 0.2927 0.6860
Sc 0.8909 0.1091 0.5000
Sc 0.8950 0.6556 0.6556
Sc 0.6556 0.6556 0.8950
Sc 0.3444 0.1050 0.3444
Sc 0.3444 0.3444 0.1050
Sc 0.1050 0.3444 0.3444
Sc 0.1091 0.5000 0.8909
Sc 0.5000 0.8909 0.1091
Sc 0.1091 0.8909 0.5000
Sc 0.8909 0.5000 0.1091
Sc 0.5000 0.1091 0.8909
Sc 0.6556 0.8950 0.6556



Record 3
A plane-wave DFT calculation with PBE-GGA was carried out for a relaxed LaThSc crystal.

## Properties
- symmetry = No. 11
- calculated formation energy (eV per atom) = 0.071
- offset from the most stable computed form (kJ/mol of atoms) = 1.5
- uncorrected energy (Ry/atom) = -0.452

Cell lengths 5.6767, 3.5317, 11.0261 Å; angles 80.82, 120.98, 90.01 degrees
Fractional coordinates of all 6 atoms:
La 0.1868 0.7810 0.4368
La 0.8132 0.2190 0.5632
Th 0.1384 0.5551 0.8884
Th 0.8616 0.4449 0.1116
Sc 0.5404 0.1039 0.7902
Sc 0.4596 0.8961 0.2098